Material: TcNi2Os
Method: DFT, PBE
State: relaxed

Cell: 2.660 2.660 7.218 Å, 90.00 90.00 90.00°
Fractional positions:
Os: 0.000 0.000 0.489
Ni: 0.500 0.500 0.243
Ni: 0.000 0.000 0.009
Tc: 0.500 0.500 0.759

Calculated values
N(E_F), states/eV/atom: 0.905
Space-group type: No. 99
Energy of formation from the pure elements, eV/atom: 0.0769
Spin magnetization, μB per cell: 0.0